MnPSeO2, optimized geometry, DFT PBE+U; crystal system = tetragonal; final energy = -5.30 eV/atom
1.0
-0.098 3.676 -0.992
-3.278 -0.586 -1.848
-2.556 1.063 4.195
P Mn O Se
1 1 2 1
direct
0.000 0.000 0.500
0.500 0.500 0.500
0.000 0.500 0.000
0.500 0.000 0.000
0.000 0.000 0.000